An optimized crystal structure of La2AuC2N6, computed with PBE-GGA.

The calculation puts the calculated total energy at -82.78 eV for the cell shown. Its crystal system is triclinic.

Cell and atoms, written as POSCAR:
```
La2AuC2N6
1.0
5.1999 -0.1940 0.1204
2.3564 6.1057 0.5845
0.2523 -2.8824 5.7846
La Au C N
2 1 2 6
Direct
0.8618 0.2876 0.7642
0.1382 0.7124 0.2358
0.5000 0.0000 0.5000
0.1807 0.7294 0.7540
0.8193 0.2706 0.2460
0.3895 0.6242 0.8430
0.9162 0.4098 0.1727
0.1088 0.8729 0.6522
0.0838 0.5902 0.8273
0.8912 0.1271 0.3478
0.6105 0.3758 0.1570
```